No. 1
MgZrPd2: optimized geometry, PBE.

Cell: 3.1290 3.1290 7.1367 Å, 90.00 90.00 90.00°
With the nearest neighbours (Å) after each atom.
Space group P4/mmm (No. 123)
One atom of each set of equivalent atoms:
1 Mg 0.0000 0.0000 0.0000 x1  8 Pd 2.78
2 Zr 0.0000 0.0000 0.5000 x1  8 Pd 2.91, 4 Zr 3.13
3 Pd 0.5000 0.5000 0.2356 x2  4 Mg 2.78, 4 Zr 2.91

Summary:
Energy of formation from the pure elements = -2.664 eV/f.u.
Electronic total energy = -23.2 eV per cell

=====

No. 2
Mg2ZrPd: optimized geometry, PBE.

Cell: 3.0325 3.0325 30.8758 Å, 90.00 90.00 120.00°
With the nearest neighbours (Å) after each atom.
Space group R-3m (No. 166, hexagonal axes)
One atom of each set of equivalent atoms:
1 Mg 0.0000 0.0000 0.0993 x6  3 Pd 2.72, 6 Mg 3.03
2 Zr 0.0000 0.0000 0.0000 x3  6 Zr 3.03, 2 Mg 3.07
3 Pd 0.0000 0.0000 0.5000 x3  6 Mg 2.72, 6 Pd 3.03

Summary:
Energy of formation from the pure elements = -0.187 eV/f.u.
Electronic total energy = -51.4 eV per cell

=====

No. 3
MgZr2Pd3: optimized geometry, PBE.

Cell: 3.2173 3.2173 10.4371 Å, 90.00 90.00 90.00°
With the nearest neighbours (Å) after each atom.
Space group P4/mmm (No. 123)
One atom of each set of equivalent atoms:
1 Mg 0.0000 0.0000 0.0000 x1  8 Pd 2.80
2 Zr 0.0000 0.0000 0.3238 x2  8 Pd 2.87-2.93
3 Pd 0.5000 0.5000 0.1565 x2  4 Mg 2.80, 4 Zr 2.87
4 Pd 0.5000 0.5000 0.5000 x1  8 Zr 2.93, 4 Pd 3.22

Summary:
Energy of formation from the pure elements = -3.836 eV/f.u.
Electronic total energy = -38.1 eV per cell

=====

No. 4
MgZrPd: optimized geometry, PBE.

Cell: 3.5644 13.8582 4.5534 Å, 90.00 90.00 90.00°
With the nearest neighbours (Å) after each atom.
Space group Cmcm (No. 63)
One atom of each set of equivalent atoms:
1 Mg 0.0000 0.0731 0.2500 x4  6 Pd 2.78-2.89, 2 Mg 3.05
2 Zr 0.0000 0.2405 0.7500 x4  2 Pd 2.84, 4 Zr 2.90, 2 Mg 3.14
3 Pd 0.0000 0.4188 0.2500 x4  6 Mg 2.78-2.89, 2 Zr 2.84

Summary:
Energy of formation from the pure elements = -1.279 eV/f.u.
Electronic total energy = -66.5 eV per cell

=====

No. 5
Mg2ZrPd2: optimized geometry, PBE.

Cell: 3.8127 3.8127 12.9588 Å, 90.00 90.00 90.00°
With the nearest neighbours (Å) after each atom.
Space group I4/mmm (No. 139)
One atom of each set of equivalent atoms:
1 Mg 0.0000 0.5000 0.2500 x4  4 Mg 2.70, 4 Pd 2.71
2 Zr 0.0000 0.0000 0.0000 x2  8 Pd 3.00
3 Pd 0.0000 0.0000 0.3987 x4  1 Pd 2.63, 4 Mg 2.71

Summary:
Energy of formation from the pure elements = -1.876 eV/f.u.
Electronic total energy = -48.0 eV per cell

=====

No. 6
Mg2Zr2Pd: optimized geometry, PBE.

Cell: 3.8533 3.8533 15.1715 Å, 90.00 90.00 90.00°
With the nearest neighbours (Å) after each atom.
Space group I4/mmm (No. 139)
One atom of each set of equivalent atoms:
1 Mg 0.0000 0.0000 0.0872 x4  1 Mg 2.64
2 Zr 0.0000 0.5000 0.2500 x4  4 Zr 2.72
3 Pd 0.0000 0.0000 0.5000 x2  8 Mg 3.03

Summary:
Energy of formation from the pure elements = 1.538 eV/f.u.
Electronic total energy = -47.9 eV per cell

=====

No. 7
MgZr2Pd9: optimized geometry, PBE.

Cell: 4.0272 4.0272 11.9658 Å, 90.00 90.00 90.00°
With the nearest neighbours (Å) after each atom.
Space group P4/mmm (No. 123)
One atom of each set of equivalent atoms:
1 Mg 0.0000 0.0000 0.0000 x1  12 Pd 2.83-2.85
2 Zr 0.0000 0.0000 0.3273 x2  12 Pd 2.79-2.89
3 Pd 0.0000 0.5000 0.1661 x4  2 Zr 2.79, 2 Mg 2.83, 8 Pd 2.83-2.85
4 Pd 0.0000 0.5000 0.5000 x2  8 Pd 2.83-2.85, 4 Zr 2.89
5 Pd 0.5000 0.5000 0.0000 x1  8 Pd 2.83, 4 Mg 2.85
6 Pd 0.5000 0.5000 0.3339 x2  8 Pd 2.83-2.84, 4 Zr 2.85

Summary:
Energy of formation from the pure elements = -8.672 eV/f.u.
Electronic total energy = -74.1 eV per cell

=====

No. 8
Mg2ZrPd: optimized geometry, PBE.

Cell: 3.1935 3.1935 7.5490 Å, 90.00 90.00 90.00°
With the nearest neighbours (Å) after each atom.
Space group P4/mmm (No. 123)
One atom of each set of equivalent atoms:
1 Mg 0.0000 0.0000 0.2060 x2  4 Pd 2.74
2 Zr 0.5000 0.5000 0.5000 x1  8 Mg 3.17, 4 Zr 3.19
3 Pd 0.5000 0.5000 0.0000 x1  8 Mg 2.74

Summary:
Energy of formation from the pure elements = -1.230 eV/f.u.
Electronic total energy = -18.2 eV per cell

=====

No. 9
MgZr5Pd6: optimized geometry, PBE.

Cell: 8.4588 13.5651 4.5650 Å, 90.00 122.61 90.00°
With the nearest neighbours (Å) after each atom.
Space group C2/m (No. 12)
One atom of each set of equivalent atoms:
1 Mg 0.0000 0.0000 0.0000 x2  8 Pd 2.76-2.84
2 Zr 0.0000 0.1750 0.5000 x4  8 Pd 2.83-2.84
3 Zr 0.0000 0.3482 0.0000 x4  8 Pd 2.87-2.98, 2 Zr 3.07
4 Zr 0.0000 0.5000 0.5000 x2  8 Pd 2.98-3.03, 4 Zr 3.07
5 Pd 0.2193 0.0000 0.7197 x4  2 Mg 2.76-2.77, 6 Zr 2.84-3.03
6 Pd 0.2340 0.1698 0.2337 x8  7 Zr 2.83-2.98, 1 Mg 2.84, 2 Pd 3.16

Summary:
Energy of formation from the pure elements = -7.346 eV/f.u.
Electronic total energy = -165.7 eV per cell

=====

No. 10
Mg5ZrPd6: optimized geometry, PBE.

Cell: 4.5887 6.4042 13.6569 Å, 90.00 90.00 90.00°
With the nearest neighbours (Å) after each atom.
Space group Immm (No. 71)
One atom of each set of equivalent atoms:
1 Mg 0.0000 0.0000 0.0000 x2  8 Pd 2.78
2 Mg 0.0000 0.0000 0.3323 x4  8 Pd 2.78-2.81
3 Mg 0.0000 0.5000 0.3333 x4  8 Pd 2.77-2.80
4 Zr 0.0000 0.5000 0.0000 x2  8 Pd 2.78-2.81
5 Pd 0.0000 0.2512 0.1665 x8  1 Zr 2.78, 7 Mg 2.78-2.80
6 Pd 0.0000 0.2538 0.5000 x4  6 Mg 2.77-2.81, 2 Zr 2.81

Summary:
Energy of formation from the pure elements = -8.626 eV/f.u.
Electronic total energy = -112.6 eV per cell

=====

No. 11
Mg2Zr2Pd: optimized geometry, PBE.

Cell: 6.5313 6.5313 4.8542 Å, 90.00 90.00 90.00°
With the nearest neighbours (Å) after each atom.
Space group P4/mbm (No. 127)
One atom of each set of equivalent atoms:
1 Mg 0.1440 0.3560 0.0000 x4  2 Pd 2.51, 1 Mg 2.66
2 Zr 0.1685 0.6685 0.5000 x4  6 Mg 2.98-3.18, 1 Zr 3.11
3 Pd 0.0000 0.0000 0.0000 x2  4 Mg 2.51

Summary:
Energy of formation from the pure elements = -0.144 eV/f.u.
Electronic total energy = -51.2 eV per cell

=====

No. 12
MgZrPd: optimized geometry, PBE.

Cell: 3.1474 3.1474 11.6263 Å, 90.00 90.00 90.00°
With the nearest neighbours (Å) after each atom.
Space group I4mm (No. 107)
One atom of each set of equivalent atoms:
1 Mg 0.0000 0.0000 0.0000 x2  4 Pd 2.77
2 Zr 0.0000 0.0000 0.7018 x2  4 Pd 2.88, 4 Zr 3.15
3 Pd 0.0000 0.0000 0.3587 x2  4 Mg 2.77, 4 Zr 2.88

Summary:
Energy of formation from the pure elements = -1.195 eV/f.u.
Electronic total energy = -33.1 eV per cell

=====

No. 13
Pm2Mg: optimized geometry, PBE.

Cell: 3.8194 17.4468 5.5995 Å, 90.00 90.00 90.00°
With the nearest neighbours (Å) after each atom.
Space group Cmcm (No. 63)
One atom of each set of equivalent atoms:
1 Pm 0.0000 0.0878 0.2500 x4  6 Mg 3.33-3.41, 2 Pm 3.72
2 Pm 0.0000 0.2280 0.7500 x4  2 Mg 3.37, 8 Pm 3.47-3.74
3 Mg 0.0000 0.4315 0.2500 x4  8 Pm 3.33-3.41, 2 Mg 3.68

Summary:
Energy of formation from the pure elements = -0.187 eV/f.u.
Electronic total energy = -45.1 eV per cell

=====

No. 14
Pm2Mg5: optimized geometry, PBE.

Cell: 7.5183 14.3524 7.0172 Å, 90.00 90.00 90.00°
With the nearest neighbours (Å) after each atom.
Space group Ibam (No. 72)
One atom of each set of equivalent atoms:
1 Pm 0.1951 0.1052 0.0000 x8  10 Mg 3.26-3.55
2 Mg 0.0000 0.2667 0.2500 x8  5 Mg 3.00-3.35, 2 Pm 3.26
3 Mg 0.0000 0.5000 0.2500 x4  8 Mg 3.18-3.51, 4 Pm 3.26
4 Mg 0.2458 0.1287 0.5000 x8  6 Mg 3.00-3.23, 1 Pm 3.33

Summary:
Energy of formation from the pure elements = -0.165 eV/f.u.
Electronic total energy = -70.6 eV per cell

=====

No. 15
PmMg5: optimized geometry, PBE.

Cell: 3.2689 3.2689 16.2338 Å, 90.00 90.00 120.00°
With the nearest neighbours (Å) after each atom.
Space group P-6m2 (No. 187)
One atom of each set of equivalent atoms:
1 Pm 0.0000 0.0000 0.0000 x1  6 Pm 3.27, 6 Mg 3.46
2 Mg 0.0000 0.0000 0.3387 x2  12 Mg 3.21-3.27
3 Mg 0.6667 0.3333 0.1788 x2  9 Mg 3.21-3.27, 3 Pm 3.46
4 Mg 0.6667 0.3333 0.5000 x1  12 Mg 3.23-3.27

Summary:
Energy of formation from the pure elements = 0.058 eV/f.u.
Electronic total energy = -12.7 eV per cell

=====

No. 16
Pm2Mg: optimized geometry, PBE.

Cell: 3.7264 3.7264 13.3834 Å, 90.00 90.00 90.00°
With the nearest neighbours (Å) after each atom.
Space group I4/mmm (No. 139)
One atom of each set of equivalent atoms:
1 Pm 0.0000 0.0000 0.1581 x4  4 Mg 3.38, 8 Pm 3.60-3.73
2 Mg 0.0000 0.0000 0.5000 x2  8 Pm 3.38, 4 Mg 3.73

Summary:
Energy of formation from the pure elements = -0.163 eV/f.u.
Electronic total energy = -22.5 eV per cell

=====

No. 17
Pm8Mg: optimized geometry, PBE.

Cell: 12.5965 12.5965 3.7778 Å, 90.00 90.00 90.00°
With the nearest neighbours (Å) after each atom.
Space group I4/mmm (No. 139)
One atom of each set of equivalent atoms:
1 Pm 0.0000 0.3339 0.0000 x8  10 Pm 3.51-3.78
2 Pm 0.1581 0.1581 0.5000 x8  2 Mg 3.39, 8 Pm 3.53-3.78
3 Mg 0.0000 0.0000 0.0000 x2  8 Pm 3.39, 2 Mg 3.78

Summary:
Energy of formation from the pure elements = 0.555 eV/f.u.
Electronic total energy = -78.1 eV per cell

=====

No. 18
Pm2Mg: optimized geometry, PBE.

Cell: 3.7841 3.7841 12.9284 Å, 90.00 90.00 90.00°
With the nearest neighbours (Å) after each atom.
Space group P4/mmm (No. 123)
One atom of each set of equivalent atoms:
1 Pm 0.0000 0.0000 0.0000 x1  8 Mg 3.32
2 Pm 0.0000 0.0000 0.3059 x2  4 Mg 3.33, 4 Pm 3.67
3 Pm 0.5000 0.5000 0.5000 x1  12 Pm 3.67-3.78
4 Mg 0.5000 0.5000 0.1526 x2  8 Pm 3.32-3.33

Summary:
Energy of formation from the pure elements = -0.179 eV/f.u.
Electronic total energy = -22.5 eV per cell

=====

No. 19
Pm5Mg3: optimized geometry, PBE.

Cell: 3.8090 3.8090 16.7804 Å, 90.00 90.00 90.00°
With the nearest neighbours (Å) after each atom.
Space group P4/mmm (No. 123)
One atom of each set of equivalent atoms:
1 Pm 0.0000 0.0000 0.0000 x1  8 Mg 3.33
2 Pm 0.0000 0.0000 0.2343 x2  4 Mg 3.34, 4 Pm 3.64
3 Pm 0.5000 0.5000 0.3804 x2  4 Mg 3.36, 4 Pm 3.64
4 Mg 0.0000 0.0000 0.5000 x1  8 Pm 3.36
5 Mg 0.5000 0.5000 0.1166 x2  8 Pm 3.33-3.34

Summary:
Energy of formation from the pure elements = -0.525 eV/f.u.
Electronic total energy = -29.1 eV per cell

=====

No. 20
Pm3Mg2: optimized geometry, PBE.

Cell: 3.8117 3.8117 20.6944 Å, 90.00 90.00 90.00°
With the nearest neighbours (Å) after each atom.
Space group P4/mmm (No. 123)
One atom of each set of equivalent atoms:
1 Pm 0.0000 0.0000 0.0000 x1  8 Mg 3.34
2 Pm 0.0000 0.0000 0.1893 x2  8 Mg 3.32-3.34
3 Pm 0.0000 0.0000 0.3801 x2  4 Mg 3.34, 4 Pm 3.66
4 Pm 0.5000 0.5000 0.5000 x1  12 Pm 3.66-3.81
5 Mg 0.5000 0.5000 0.0954 x2  8 Pm 3.32-3.34
6 Mg 0.5000 0.5000 0.2843 x2  8 Pm 3.34

Summary:
Energy of formation from the pure elements = -0.382 eV/f.u.
Electronic total energy = -35.6 eV per cell